DFT (GGA-PBE) results for a geometry-optimized Ac3CdNi structure.

Values from the calculation:
Its raw total energy is -79.7 eV per cell. The value obtained for the density is 8.08 Mg/m³. The formation energy comes out at -0.18 eV per atom. The value obtained for the energy above the most stable polymorph in this dataset is 27 meV/atom.

Structure (CIF):
```
data_Ac3CdNi
_chemical_formula_sum 'Ac12 Cd4 Ni4'
_cell_length_a 10.067
_cell_length_b 7.242
_cell_length_c 10.549
_cell_angle_alpha 90.00
_cell_angle_beta 114.33
_cell_angle_gamma 90.00
_space_group_name_H-M_alt 'P 1 21/c 1'
_space_group_IT_number 14
loop_
_space_group_symop_operation_xyz
'x,y,z'
'-x,-y,-z'
'-x,y+1/2,-z+1/2'
'x,-y+1/2,z+1/2'
loop_
_atom_site_label
_atom_site_type_symbol
_atom_site_fract_x
_atom_site_fract_y
_atom_site_fract_z
Ac1 Ac 0.085 0.074 0.359
Ac2 Ac 0.209 0.582 0.560
Ac3 Ac 0.374 0.094 0.767
Cd1 Cd 0.423 0.663 0.927
Ni1 Ni 0.079 0.244 0.609
```